Computed, not measured: Pu2MgPbO8 after structural relaxation at the GGA-PBE level of DFT.

- Size of the total moment: 0.333 μB per atom
- Total energy: -202.2 eV for the cell shown

Cell lengths 6.892, 7.279, 6.979 Å; angles 90.00, 90.00, 90.00 degrees
Space group Cmmm (No. 65)
Unique sites:
Pu1 0.000 0.000 0.240 (multiplicity 4)
Mg1 0.000 0.500 0.000 (multiplicity 2)
Pb1 0.000 0.500 0.500 (multiplicity 2)
O1 0.000 0.170 0.500 (multiplicity 4)
O2 0.000 0.188 0.000 (multiplicity 4)
O3 0.217 0.500 0.221 (multiplicity 8)

Computed, not measured: Pu6As3Se after structural relaxation at the GGA-PBE level of DFT.

- Size of the total moment: 3.673 μB per atom
- Total energy: -218.7 eV for the cell shown

Cell lengths 13.620, 6.195, 8.185 Å; angles 90.00, 125.39, 90.00 degrees
Space group C2/m (No. 12)
Unique sites:
Pu1 0.106 0.249 0.350 (multiplicity 8)
Pu2 0.248 0.000 0.880 (multiplicity 4)
As1 0.000 0.500 0.000 (multiplicity 2)
As2 0.240 0.500 0.748 (multiplicity 4)
Se1 0.000 0.000 0.500 (multiplicity 2)